Record 1
Entry from the Alexandria database: a relaxed structure of Sm8YN6 (PBE).

As for the uncorrected formation energy: -1199.3 meV/atom. For the total energy, the calculation gives -7.4773 eV per atom. As for the total magnetization: 0.622 μB per formula unit. The theoretical density is 7526 kg/m³. As for the symmetry: R-3, No. 148. Its density of states at the Fermi level is 0.552 states/eV/atom.

The structure in CIF format:
```
data_Sm8YN6
_cell_length_a 6.220
_cell_length_b 6.220
_cell_length_c 9.746
_cell_angle_alpha 71.39
_cell_angle_beta 71.39
_cell_angle_gamma 60.00
_space_group_name_H-M_alt 'P 1'
_space_group_IT_number 1
_space_group_name_Hall 'P 1'
loop_
_atom_site_label
_atom_site_fract_x
_atom_site_fract_y
_atom_site_fract_z
Sm1 0.436 0.102 0.693
Sm2 0.769 0.436 0.693
Sm3 0.667 0.667 0.000
Sm4 0.898 0.231 0.307
Sm5 0.333 0.333 0.000
Sm6 0.564 0.898 0.307
Sm7 0.102 0.769 0.693
Sm8 0.231 0.564 0.307
N1 0.055 0.384 0.833
N2 0.616 0.273 0.167
N3 0.273 0.945 0.167
N4 0.727 0.055 0.833
N5 0.945 0.616 0.167
N6 0.384 0.727 0.833
Y1 0.000 0.000 0.000
```

Record 2
Entry from the Alexandria database: a relaxed structure of NpAs3Au (PBE).

The value obtained for the formation energy is -217.2 meV per atom. For the total energy, the calculation gives -6.2505 eV per atom. As for the total magnetization: 3.486 μB per formula unit. The theoretical density is 10770 kg/m³. As for the symmetry: Pbcm, No. 57. Its density of states at the Fermi level is 1.771 states/eV/atom.

The structure in CIF format:
```
data_NpAs3Au
_cell_length_a 5.692
_cell_length_b 5.668
_cell_length_c 12.592
_cell_angle_alpha 90.00
_cell_angle_beta 90.00
_cell_angle_gamma 90.00
_space_group_name_H-M_alt 'P 1'
_space_group_IT_number 1
_space_group_name_Hall 'P 1'
loop_
_atom_site_label
_atom_site_fract_x
_atom_site_fract_y
_atom_site_fract_z
Np1 0.750 0.499 0.681
Np2 0.250 0.501 0.319
Np3 0.250 0.001 0.681
Np4 0.750 0.999 0.319
Au1 0.500 0.250 0.103
Au2 0.000 0.750 0.897
Au3 0.000 0.250 0.103
Au4 0.500 0.750 0.897
As1 0.250 0.656 0.090
As2 0.750 0.500 0.275
As3 0.000 0.250 0.499
As4 0.000 0.750 0.501
As5 0.750 0.000 0.725
As6 0.750 0.844 0.090
As7 0.250 0.000 0.275
As8 0.250 0.156 0.910
As9 0.750 0.344 0.910
As10 0.250 0.500 0.725
As11 0.500 0.750 0.501
As12 0.500 0.250 0.499
```